4
Lattice="4.196 0.000 0.000 0.000 3.872 0.000 -0.159 0.000 4.525" Properties=species:S:1:pos:R:3 comment="FeP2O, relaxed, DFT PBE+U" sg="P2/m, No. 10" final_energy_ev_per_atom=-5.500 pbc="T T T"
Fe 0.000 0.000 0.000
P 0.632 1.936 1.384
P 3.405 1.936 3.141
O 2.018 1.936 2.262